The following is a PBE+U calculation of a relaxed structure of NaTl3Fe2F9, from the Alexandria database.

The value obtained for the theoretical density is 6.503 g/cm³. The calculation puts the total energy at -4.680 eV per atom. The value obtained for the density of states at the Fermi level is 0.39 states/eV per atom.

Cell and atoms, written as POSCAR:
```
NaTl3Fe2F9
1.0
6.057 0.000 0.000
-3.028 5.245 0.000
0.000 0.000 7.385
Na Tl Fe F
1 3 2 9
Direct
0.000 0.000 0.000
0.000 0.000 0.500
0.333 0.667 0.147
0.667 0.333 0.853
0.333 0.667 0.659
0.667 0.333 0.341
0.000 0.500 0.500
0.177 0.354 0.812
0.177 0.823 0.812
0.354 0.177 0.188
0.500 0.000 0.500
0.500 0.500 0.500
0.646 0.823 0.812
0.823 0.177 0.188
0.823 0.646 0.188
```